1.
A relaxed structure of SrAcAg2S4, computed with PBE.

a = 7.0785 Å, b = 7.0785 Å, c = 7.7668 Å
α = 90.00°, β = 90.00°, γ = 90.00°
Space group I-42m (No. 121)
Symmetry-distinct sites (fractional):
Sr: 0.0000 0.0000 0.0000 (multiplicity 2)
Ac: 0.0000 0.0000 0.5000 (multiplicity 2)
Ag: 0.0000 0.5000 0.2500 (multiplicity 4)
S: 0.2484 0.2484 0.7500 (multiplicity 8)

Total magnetic moment = 0.00 μB/cell
Uncorrected formation energy = -1.1850 eV per atom
DOS at the Fermi energy = 0.6 states/eV/f.u.
Calculated density = 5.62 g/cm³

2.
A relaxed structure of AcTbAg2S4, computed with PBE.

a = 6.8342 Å, b = 7.0469 Å, c = 8.1363 Å
α = 90.00°, β = 90.00°, γ = 90.00°
Space group I222 (No. 23)
Symmetry-distinct sites (fractional):
Ac: 0.0000 0.0000 0.0000 (multiplicity 2)
Tb: 0.0000 0.0000 0.5000 (multiplicity 2)
Ag: 0.0000 0.5000 0.1764 (multiplicity 4)
S: 0.2220 0.2262 0.3203 (multiplicity 8)

Total magnetic moment = 0.00 μB/cell
Uncorrected formation energy = -1.2325 eV per atom
DOS at the Fermi energy = 0.1 states/eV/f.u.
Calculated density = 6.19 g/cm³

Q: What is the formula in the first record?
A: SrAcAg2S4

Q: The lowest uncorrected formation energy belongs to which entry?
A: AcTbAg2S4